TlIn3Cl, optimized geometry, DFT PBE; DFT total energy = -2.390 eV/atom; magnetic moment = 0.00 Bohr magnetons per cell; D(E_F) = 5.67 states/eV/cell; formation energy (no corrections) = 95 meV/atom
1.0
5.710 0.000 0.000
0.000 5.710 0.000
0.000 0.000 5.710
Tl In Cl
1 3 1
Cartesian
0.000 0.000 0.000
0.000 2.855 2.855
2.855 0.000 2.855
2.855 2.855 0.000
2.855 2.855 2.855


SrZnTe2Se, optimized geometry, DFT PBE; DFT total energy = -2.988 eV/atom; magnetic moment = 0.00 Bohr magnetons per cell; D(E_F) = 1.29 states/eV/cell; formation energy (no corrections) = -444 meV/atom
1.0
5.811 0.000 0.000
0.000 5.811 0.000
0.000 0.000 4.840
Sr Zn Te Se
1 1 2 1
Cartesian
0.000 0.000 0.000
2.906 2.906 0.000
0.000 2.906 2.420
2.906 0.000 2.420
2.906 2.906 2.420


Repeat the second record exactly.
SrZnTe2Se, optimized geometry, DFT PBE; DFT total energy = -2.988 eV/atom; magnetic moment = 0.00 Bohr magnetons per cell; D(E_F) = 1.29 states/eV/cell; formation energy (no corrections) = -444 meV/atom
1.0
5.811 0.000 0.000
0.000 5.811 0.000
0.000 0.000 4.840
Sr Zn Te Se
1 1 2 1
Cartesian
0.000 0.000 0.000
2.906 2.906 0.000
0.000 2.906 2.420
2.906 0.000 2.420
2.906 2.906 2.420


Which value of D(E_F) does entry 1 give? 5.67 states/eV/cell